Record 1
Entry from Alexandria: a geometry-optimized IrRh structure (GGA-PBE).

a = 4.257 Å, b = 4.257 Å, c = 7.947 Å
α = 90.00°, β = 90.00°, γ = 120.00°
Sites, in units of the cell vectors:
Ir  0.333  0.667  0.086
Ir  0.667  0.333  0.586
Ir  0.667  0.333  0.914
Ir  0.333  0.667  0.414
Rh  0.000  0.000  0.250
Rh  0.000  0.000  0.750
Rh  0.333  0.667  0.750
Rh  0.667  0.333  0.250

=====

Record 2
Entry from Alexandria: a geometry-optimized Ir5Rh4 structure (GGA-PBE).

a = 3.859 Å, b = 6.099 Å, c = 6.099 Å
α = 84.18°, β = 71.53°, γ = 71.53°
Sites, in units of the cell vectors:
Ir  0.000  0.002  0.998
Ir  0.000  0.331  0.669
Ir  0.000  0.667  0.333
Ir  0.336  0.331  0.998
Ir  0.664  0.002  0.669
Rh  0.334  0.667  0.665
Rh  0.334  0.999  0.333
Rh  0.666  0.667  0.001
Rh  0.666  0.335  0.333

=====

Record 3
Entry from Alexandria: a geometry-optimized IrRh structure (GGA-PBE).

a = 2.734 Å, b = 2.734 Å, c = 8.909 Å
α = 90.00°, β = 90.00°, γ = 120.00°
Sites, in units of the cell vectors:
Ir  0.000  0.000  0.000
Ir  0.333  0.667  0.250
Rh  0.000  0.000  0.500
Rh  0.333  0.667  0.750

=====

Record 4
Entry from Alexandria: a geometry-optimized Ir2Rh3 structure (GGA-PBE).

a = 8.102 Å, b = 7.107 Å, c = 5.150 Å
α = 81.05°, β = 60.06°, γ = 38.89°
Sites, in units of the cell vectors:
Ir  0.560  0.351  0.903
Ir  0.187  0.903  0.351
Ir  0.899  0.690  0.063
Ir  0.347  0.063  0.690
Rh  0.457  0.346  0.476
Rh  0.721  0.476  0.346
Rh  0.904  0.793  0.529
Rh  0.774  0.529  0.793
Rh  0.075  0.925  0.925
Rh  0.325  0.175  0.175

=====

Across the entries above, final energy takes the values -60.96; -73.90; -32.25; -78.02 eV/cell, respectively.